# 1
## YBiAs2Br (PBE)

Data for a geometry-optimized YBiAs2Br structure.

Values from the calculation:
Offset from the most stable computed form, meV per atom: 0
Spin magnetization, Bohr magnetons per cell: 0.000
Space-group type: P4/mmm, No. 123
Raw formation energy, eV per atom: -0.0367
Electronic total energy, eV/atom: -4.3000

a = 5.5550 Å, b = 5.5550 Å, c = 5.2825 Å
α = 90.00°, β = 90.00°, γ = 90.00°
Fractional coordinates of all 5 atoms:
Y1 0.0000 0.0000 0.0000
Bi1 0.5000 0.5000 0.5000
As1 0.0000 0.5000 0.0000
As2 0.5000 0.0000 0.0000
Br1 0.0000 0.0000 0.5000

---

# 2
## VCr2P2 (PBE)

Data for a geometry-optimized VCr2P2 structure.

Values from the calculation:
Offset from the most stable computed form, meV per atom: 165
Spin magnetization, Bohr magnetons per cell: 2.991
Space-group type: I4/mmm, No. 139
Electronic total energy, eV/atom: -8.0499
Formation enthalpy at 0 K, eV per atom: -0.213

a = 5.3875 Å, b = 5.3875 Å, c = 5.3875 Å
α = 139.35°, β = 139.35°, γ = 58.84°
Fractional coordinates of all 5 atoms:
V1 0.0000 0.0000 0.0000
Cr1 0.2500 0.7500 0.5000
Cr2 0.7500 0.2500 0.5000
P1 0.3847 0.3847 0.0000
P2 0.6153 0.6153 0.0000

---

# 3
## GaFe2WN (PBE)

Data for a geometry-optimized GaFe2WN structure.

Values from the calculation:
Spin magnetization, Bohr magnetons per cell: 3.779
Space-group type: P4/mmm, No. 123
Raw formation energy, eV per atom: -0.1054
Electronic total energy, eV/atom: -8.3516

a = 3.8491 Å, b = 3.8491 Å, c = 4.0729 Å
α = 90.00°, β = 90.00°, γ = 90.00°
Fractional coordinates of all 5 atoms:
Ga1 0.0000 0.0000 0.0000
Fe1 0.0000 0.5000 0.5000
Fe2 0.5000 0.0000 0.5000
W1 0.5000 0.5000 0.0000
N1 0.5000 0.5000 0.5000

---

# 4
## KCd2Br2 (PBE)

Data for a geometry-optimized KCd2Br2 structure.

Values from the calculation:
Offset from the most stable computed form, meV per atom: 94
Spin magnetization, Bohr magnetons per cell: 0.000
Space-group type: I4/mmm, No. 139
Raw formation energy, eV per atom: -0.6709
Electronic total energy, eV/atom: -1.9256

a = 6.5352 Å, b = 6.5352 Å, c = 6.5352 Å
α = 126.57°, β = 126.57°, γ = 78.95°
Fractional coordinates of all 5 atoms:
K1 0.0000 0.0000 0.0000
Cd1 0.3609 0.3609 0.0000
Cd2 0.6391 0.6391 0.0000
Br1 0.2500 0.7500 0.5000
Br2 0.7500 0.2500 0.5000

---

# 5
## HgSb2TeSe (PBE)

Data for a geometry-optimized HgSb2TeSe structure.

Values from the calculation:
Offset from the most stable computed form, meV per atom: 0
Spin magnetization, Bohr magnetons per cell: 0.950
Space-group type: P4/mmm, No. 123
Raw formation energy, eV per atom: 0.5721
Electronic total energy, eV/atom: -2.4624

a = 5.5324 Å, b = 5.5324 Å, c = 5.4931 Å
α = 90.00°, β = 90.00°, γ = 90.00°
Fractional coordinates of all 5 atoms:
Hg1 0.0000 0.0000 0.0000
Sb1 0.0000 0.5000 0.5000
Sb2 0.5000 0.0000 0.5000
Te1 0.5000 0.5000 0.0000
Se1 0.5000 0.5000 0.5000

---

# 6
## Rb2TiHF6 (PBE)

Data for a geometry-optimized Rb2TiHF6 structure.

Values from the calculation:
Spin magnetization, Bohr magnetons per cell: 1.000
Space-group type: I4/mmm, No. 139
Electronic total energy, eV/atom: -5.1383

a = 6.3012 Å, b = 6.3012 Å, c = 6.3012 Å
α = 120.05°, β = 120.05°, γ = 89.91°
Fractional coordinates of all 10 atoms:
Rb1 0.2500 0.7500 0.5000
Rb2 0.7500 0.2500 0.5000
Ti1 0.0000 0.0000 0.0000
H1 0.5000 0.5000 0.0000
F1 0.2121 0.2121 0.0000
F2 0.2125 0.2125 0.4250
F3 0.2125 0.7875 0.0000
F4 0.7875 0.2125 0.0000
F5 0.7879 0.7879 0.0000
F6 0.7875 0.7875 0.5750

---

# 7
## KRe (PBE)

Data for a geometry-optimized KRe structure.

Values from the calculation:
Offset from the most stable computed form, meV per atom: 2058
Spin magnetization, Bohr magnetons per cell: 16.026
Space-group type: P2_13, No. 198
Electronic total energy, eV/atom: -3.8838
Formation enthalpy at 0 K, eV per atom: 2.889

a = 6.2967 Å, b = 6.2967 Å, c = 6.2967 Å
α = 90.00°, β = 90.00°, γ = 90.00°
Fractional coordinates of all 8 atoms:
K1 0.0925 0.4075 0.5925
K2 0.4075 0.5925 0.0925
K3 0.5925 0.0925 0.4075
K4 0.9075 0.9075 0.9075
Re1 0.1034 0.8966 0.3966
Re2 0.3966 0.1034 0.8966
Re3 0.6034 0.6034 0.6034
Re4 0.8966 0.3966 0.1034

---

# 8
## LaNdAlTl (PBE)

Data for a geometry-optimized LaNdAlTl structure.

Values from the calculation:
Offset from the most stable computed form, meV per atom: 0
Spin magnetization, Bohr magnetons per cell: 0.000
Space-group type: P4mm, No. 99
Electronic total energy, eV/atom: -4.3298
Formation enthalpy at 0 K, eV per atom: -0.379

a = 3.8141 Å, b = 3.8141 Å, c = 7.9036 Å
α = 90.00°, β = 90.00°, γ = 90.00°
Fractional coordinates of all 4 atoms:
La1 0.0000 0.0000 0.0000
Nd1 0.0000 0.0000 0.4722
Al1 0.5000 0.5000 0.2428
Tl1 0.5000 0.5000 0.7267

---

# 9
## Ca3Si2GeAu6 (PBE)

Data for a geometry-optimized Ca3Si2GeAu6 structure.

Values from the calculation:
Spin magnetization, Bohr magnetons per cell: 0.000
Space-group type: P-3m1, No. 164
Raw formation energy, eV per atom: -0.3881
Electronic total energy, eV/atom: -3.8158

a = 6.4189 Å, b = 6.4189 Å, c = 7.9295 Å
α = 90.00°, β = 90.00°, γ = 120.00°
Fractional coordinates of all 12 atoms:
Ca1 0.0000 0.0000 0.0000
Ca2 0.3333 0.6667 0.6801
Ca3 0.6667 0.3333 0.3199
Si1 0.3333 0.6667 0.0728
Si2 0.6667 0.3333 0.9272
Ge1 0.0000 0.0000 0.5000
Au1 0.1773 0.3545 0.2939
Au2 0.1773 0.8227 0.2939
Au3 0.3545 0.1773 0.7061
Au4 0.6455 0.8227 0.2939
Au5 0.8227 0.1773 0.7061
Au6 0.8227 0.6455 0.7061

---

# 10
## KYPtPb2 (PBE)

Data for a geometry-optimized KYPtPb2 structure.

Values from the calculation:
Spin magnetization, Bohr magnetons per cell: 0.000
Space-group type: P4/mmm, No. 123
Electronic total energy, eV/atom: -3.1561
Formation enthalpy at 0 K, eV per atom: 1.048

a = 5.7812 Å, b = 5.7812 Å, c = 6.0481 Å
α = 90.00°, β = 90.00°, γ = 90.00°
Fractional coordinates of all 5 atoms:
K1 0.0000 0.0000 0.0000
Y1 0.0000 0.0000 0.5000
Pt1 0.5000 0.5000 0.0000
Pb1 0.0000 0.5000 0.5000
Pb2 0.5000 0.0000 0.5000

---

# 11
## NaThHg3 (PBE)

Data for a geometry-optimized NaThHg3 structure.

Values from the calculation:
Spin magnetization, Bohr magnetons per cell: 0.000
Space-group type: P6_3/mmc, No. 194
Electronic total energy, eV/atom: -1.9421
Formation enthalpy at 0 K, eV per atom: -0.013

a = 7.3047 Å, b = 7.3047 Å, c = 5.5920 Å
α = 90.00°, β = 90.00°, γ = 120.00°
Fractional coordinates of all 10 atoms:
Na1 0.0000 0.0000 0.0000
Na2 0.0000 0.0000 0.5000
Th1 0.3333 0.6667 0.2500
Th2 0.6667 0.3333 0.7500
Hg1 0.1962 0.3923 0.7500
Hg2 0.1962 0.8038 0.7500
Hg3 0.3923 0.1962 0.2500
Hg4 0.6077 0.8038 0.7500
Hg5 0.8038 0.1962 0.2500
Hg6 0.8038 0.6077 0.2500

---

# 12
## Nb2As2Rh (PBE)

Data for a geometry-optimized Nb2As2Rh structure.

Values from the calculation:
Spin magnetization, Bohr magnetons per cell: 0.000
Space-group type: P4/mbm, No. 127
Electronic total energy, eV/atom: -7.7258
Formation enthalpy at 0 K, eV per atom: -0.368

a = 6.9611 Å, b = 6.9611 Å, c = 3.4378 Å
α = 90.00°, β = 90.00°, γ = 90.00°
Fractional coordinates of all 10 atoms:
Nb1 0.1468 0.3532 0.0000
Nb2 0.3532 0.8532 0.0000
Nb3 0.6468 0.1468 0.0000
Nb4 0.8532 0.6468 0.0000
As1 0.1536 0.6536 0.5000
As2 0.3464 0.1536 0.5000
As3 0.6536 0.8464 0.5000
As4 0.8464 0.3464 0.5000
Rh1 0.0000 0.0000 0.5000
Rh2 0.5000 0.5000 0.5000